(1)
{
  "formula": "La2AlCr",
  "functional": "GGA-PBEsol",
  "state": "relaxed",
  "lattice_angstrom": [[4.6225, 0.0000, 0.0000], [0.0000, 4.6225, 0.0000], [0.0000, 0.0000, 8.9285]],
  "species": ["La", "La", "La", "La", "Al", "Al", "Cr", "Cr"],
  "frac_coords": [[0.0000, 0.0000, 0.0000], [0.0000, 0.5000, 0.2500], [0.5000, 0.0000, 0.7500], [0.5000, 0.5000, 0.5000], [0.0000, 0.0000, 0.5000], [0.5000, 0.5000, 0.0000], [0.0000, 0.5000, 0.7500], [0.5000, 0.0000, 0.2500]],
  "formation_energy_mev_per_atom": 201,
  "final_energy_ev_per_atom": -6.056
}

(2)
{
  "formula": "BeNiOs2",
  "functional": "GGA-PBEsol",
  "state": "relaxed",
  "lattice_angstrom": [[5.7956, 0.0000, 0.0000], [0.0000, 5.7956, 0.0000], [0.0000, 0.0000, 5.7956]],
  "species": ["Be", "Be", "Be", "Be", "Ni", "Ni", "Ni", "Ni", "Os", "Os", "Os", "Os", "Os", "Os", "Os", "Os"],
  "frac_coords": [[0.0000, 0.0000, 0.0000], [0.0000, 0.5000, 0.5000], [0.5000, 0.0000, 0.5000], [0.5000, 0.5000, 0.0000], [0.2500, 0.2500, 0.7500], [0.2500, 0.7500, 0.2500], [0.7500, 0.2500, 0.2500], [0.7500, 0.7500, 0.7500], [0.0000, 0.0000, 0.5000], [0.0000, 0.5000, 0.0000], [0.2500, 0.2500, 0.2500], [0.2500, 0.7500, 0.7500], [0.5000, 0.0000, 0.0000], [0.5000, 0.5000, 0.5000], [0.7500, 0.2500, 0.7500], [0.7500, 0.7500, 0.2500]],
  "formation_energy_mev_per_atom": 212,
  "final_energy_ev_per_atom": -8.435
}

(3)
{
  "formula": "POs3O",
  "functional": "GGA-PBEsol",
  "state": "relaxed",
  "lattice_angstrom": [[4.0388, 0.0000, 0.0000], [0.0000, 4.0388, 0.0000], [0.0000, 0.0000, 4.0388]],
  "species": ["P", "Os", "Os", "Os", "O"],
  "frac_coords": [[0.0000, 0.0000, 0.0000], [0.0000, 0.5000, 0.5000], [0.5000, 0.0000, 0.5000], [0.5000, 0.5000, 0.0000], [0.5000, 0.5000, 0.5000]],
  "final_energy_ev_per_atom": -8.375
}

(4)
{
  "formula": "Sc2InIr",
  "functional": "GGA-PBEsol",
  "state": "relaxed",
  "lattice_angstrom": [[6.5753, 0.0000, 0.0000], [0.0000, 6.5753, 0.0000], [0.0000, 0.0000, 6.5753]],
  "species": ["Sc", "Sc", "Sc", "Sc", "Sc", "Sc", "Sc", "Sc", "In", "In", "In", "In", "Ir", "Ir", "Ir", "Ir"],
  "frac_coords": [[0.0000, 0.0000, 0.0000], [0.0000, 0.5000, 0.5000], [0.2500, 0.2500, 0.2500], [0.2500, 0.7500, 0.7500], [0.5000, 0.0000, 0.5000], [0.5000, 0.5000, 0.0000], [0.7500, 0.2500, 0.7500], [0.7500, 0.7500, 0.2500], [0.0000, 0.0000, 0.5000], [0.0000, 0.5000, 0.0000], [0.5000, 0.0000, 0.0000], [0.5000, 0.5000, 0.5000], [0.2500, 0.2500, 0.7500], [0.2500, 0.7500, 0.2500], [0.7500, 0.2500, 0.2500], [0.7500, 0.7500, 0.7500]],
  "formation_energy_mev_per_atom": -617,
  "final_energy_ev_per_atom": -7.121
}

(5)
{
  "formula": "TaFe2Ni",
  "functional": "GGA-PBEsol",
  "state": "relaxed",
  "lattice_angstrom": [[2.6153, 0.0000, 0.0000], [0.0000, 2.6153, 0.0000], [0.0000, 0.0000, 7.3925]],
  "species": ["Ta", "Fe", "Fe", "Ni"],
  "frac_coords": [[0.0000, 0.0000, 0.0000], [0.5000, 0.5000, 0.2797], [0.5000, 0.5000, 0.7203], [0.0000, 0.0000, 0.5000]],
  "formation_energy_mev_per_atom": 109,
  "final_energy_ev_per_atom": -9.050
}

(6)
{
  "formula": "LiPI2O",
  "functional": "GGA-PBEsol",
  "state": "relaxed",
  "lattice_angstrom": [[5.5793, 0.0000, 0.0000], [0.0000, 5.5793, 0.0000], [0.0000, 0.0000, 3.5794]],
  "species": ["Li", "P", "I", "I", "O"],
  "frac_coords": [[0.0000, 0.0000, 0.0000], [0.5000, 0.5000, 0.5000], [0.0000, 0.5000, 0.5000], [0.5000, 0.0000, 0.5000], [0.5000, 0.5000, 0.0000]],
  "final_energy_ev_per_atom": -3.895
}

(7)
{
  "formula": "BaNa2Ti2Si4O14",
  "functional": "GGA-PBEsol",
  "state": "relaxed",
  "lattice_angstrom": [[-5.2164, 6.9513, 4.0596], [5.2164, -6.9513, 4.0596], [5.2164, 6.9513, -4.0596]],
  "species": ["Ba", "Ba", "Na", "Na", "Na", "Na", "Ti", "Ti", "Ti", "Ti", "Si", "Si", "Si", "Si", "Si", "Si", "Si", "Si", "O", "O", "O", "O", "O", "O", "O", "O", "O", "O", "O", "O", "O", "O", "O", "O", "O", "O", "O", "O", "O", "O", "O", "O", "O", "O", "O", "O"],
  "frac_coords": [[0.2497, 0.2500, 0.4997], [0.7503, 0.7500, 0.5003], [0.0014, 0.0014, 0.0000], [0.0014, 0.5014, 0.5000], [0.1450, 0.7443, 0.9008], [0.8435, 0.2443, 0.0992], [0.1921, 0.9762, 0.7159], [0.2603, 0.4762, 0.2841], [0.6970, 0.4797, 0.7173], [0.7625, 0.9797, 0.2827], [0.1633, 0.3377, 0.8842], [0.1633, 0.7791, 0.3256], [0.4535, 0.2791, 0.1158], [0.4535, 0.8377, 0.6744], [0.5613, 0.1765, 0.3264], [0.5613, 0.7350, 0.8848], [0.8502, 0.2350, 0.6736], [0.8502, 0.6765, 0.1152], [0.0085, 0.3504, 0.8405], [0.0085, 0.6681, 0.1581], [0.0613, 0.2641, 0.2973], [0.1096, 0.1310, 0.7388], [0.1096, 0.8708, 0.4786], [0.1567, 0.3390, 0.0527], [0.1567, 0.6040, 0.3177], [0.2863, 0.1040, 0.9473], [0.2863, 0.8390, 0.6823], [0.3659, 0.5411, 0.8928], [0.3659, 0.9731, 0.3248], [0.3922, 0.3708, 0.2612], [0.3922, 0.6310, 0.5214], [0.4809, 0.2675, 0.7133], [0.5099, 0.1681, 0.1595], [0.5099, 0.8504, 0.8419], [0.5542, 0.7675, 0.2867], [0.6263, 0.3853, 0.4799], [0.6263, 0.6463, 0.7409], [0.6483, 0.0411, 0.6752], [0.6483, 0.4731, 0.1072], [0.7250, 0.1692, 0.3169], [0.7250, 0.9081, 0.0557], [0.8524, 0.4081, 0.6831], [0.8524, 0.6692, 0.9443], [0.9054, 0.1463, 0.5201], [0.9054, 0.8853, 0.2591], [0.9668, 0.7641, 0.7027]],
  "final_energy_ev_per_atom": -7.951
}

(8)
{
  "formula": "ZrMnTe2N",
  "functional": "GGA-PBEsol",
  "state": "relaxed",
  "lattice_angstrom": [[5.6776, 0.0000, 0.0000], [0.0000, 5.6776, 0.0000], [0.0000, 0.0000, 3.9141]],
  "species": ["Zr", "Mn", "Te", "Te", "N"],
  "frac_coords": [[0.0000, 0.0000, 0.0000], [0.5000, 0.5000, 0.5000], [0.0000, 0.5000, 0.0000], [0.5000, 0.0000, 0.0000], [0.0000, 0.0000, 0.5000]],
  "final_energy_ev_per_atom": -6.622
}

(9)
{
  "formula": "LiZr2Pb",
  "functional": "GGA-PBEsol",
  "state": "relaxed",
  "lattice_angstrom": [[3.1893, 0.0000, 0.0000], [-1.5946, 2.7620, 0.0000], [0.0000, 0.0000, 30.4832]],
  "species": ["Li", "Li", "Li", "Zr", "Zr", "Zr", "Zr", "Zr", "Zr", "Pb", "Pb", "Pb"],
  "frac_coords": [[0.0000, 0.0000, 0.0000], [0.3333, 0.6667, 0.6667], [0.6667, 0.3333, 0.3333], [0.0000, 0.0000, 0.2515], [0.0000, 0.0000, 0.7485], [0.3333, 0.6667, 0.4152], [0.3333, 0.6667, 0.9182], [0.6667, 0.3333, 0.0818], [0.6667, 0.3333, 0.5848], [0.0000, 0.0000, 0.5000], [0.3333, 0.6667, 0.1667], [0.6667, 0.3333, 0.8333]],
  "formation_energy_mev_per_atom": 172,
  "final_energy_ev_per_atom": -5.864
}

(10)
{
  "formula": "TaO2",
  "functional": "GGA-PBEsol",
  "state": "relaxed",
  "lattice_angstrom": [[4.9467, 0.0000, 0.0000], [0.0000, 4.9467, 0.0000], [0.0000, 0.0000, 2.8640]],
  "species": ["Ta", "Ta", "O", "O", "O", "O"],
  "frac_coords": [[0.0000, 0.0000, 0.0000], [0.5000, 0.5000, 0.5000], [0.2127, 0.2127, 0.5000], [0.2873, 0.7127, 0.0000], [0.7127, 0.2873, 0.0000], [0.7873, 0.7873, 0.5000]],
  "final_energy_ev_per_atom": -10.293
}

(11)
{
  "formula": "InRuSeN2",
  "functional": "GGA-PBEsol",
  "state": "relaxed",
  "lattice_angstrom": [[4.0316, 0.0000, 0.0000], [0.0000, 4.0316, 0.0000], [0.0000, 0.0000, 5.6419]],
  "species": ["In", "Ru", "Se", "N", "N"],
  "frac_coords": [[0.0000, 0.0000, 0.0000], [0.5000, 0.5000, 0.5000], [0.0000, 0.0000, 0.5000], [0.0000, 0.5000, 0.0000], [0.5000, 0.0000, 0.0000]],
  "final_energy_ev_per_atom": -4.838
}

(12)
{
  "formula": "MgZrIn3",
  "functional": "GGA-PBEsol",
  "state": "relaxed",
  "lattice_angstrom": [[5.5026, 0.0000, 0.0000], [0.0000, 5.5026, 0.0000], [0.0000, 0.0000, 5.5026]],
  "species": ["Mg", "Zr", "In", "In", "In"],
  "frac_coords": [[0.0000, 0.0000, 0.0000], [0.5000, 0.5000, 0.5000], [0.0000, 0.5000, 0.5000], [0.5000, 0.0000, 0.5000], [0.5000, 0.5000, 0.0000]],
  "formation_energy_mev_per_atom": 614,
  "final_energy_ev_per_atom": -3.337
}

Please write out number 5 again, unchanged.
{
  "formula": "TaFe2Ni",
  "functional": "GGA-PBEsol",
  "state": "relaxed",
  "lattice_angstrom": [[2.6153, 0.0000, 0.0000], [0.0000, 2.6153, 0.0000], [0.0000, 0.0000, 7.3925]],
  "species": ["Ta", "Fe", "Fe", "Ni"],
  "frac_coords": [[0.0000, 0.0000, 0.0000], [0.5000, 0.5000, 0.2797], [0.5000, 0.5000, 0.7203], [0.0000, 0.0000, 0.5000]],
  "formation_energy_mev_per_atom": 109,
  "final_energy_ev_per_atom": -9.050
}